No. 1
Here is a relaxed structure of ReB2RhAu from Alexandria. Energies are from PBE. Values from VASP.

Properties
relative energy among the computed polymorphs	0.089	eV/atom
total moment	0.00	μB/f.u.
crystal system	monoclinic
calculated volume	120.46	Å³/cell
Fermi-level density of states	4.82	states/eV/cell

Geometry as Quantum ESPRESSO input:
```
&SYSTEM
  ibrav = 0, nat = 10, ntyp = 4
/
ATOMIC_SPECIES
B 10.81 B.upf
Re 186.21 Re.upf
Au 196.97 Au.upf
Rh 102.91 Rh.upf
CELL_PARAMETERS angstrom
3.087 0.000 0.006
0.000 2.970 0.000
-0.037 0.000 13.138
ATOMIC_POSITIONS angstrom
B 0.011 1.485 12.165
B 2.935 1.485 4.502
B 2.917 0.000 11.071
B 0.029 0.000 5.597
Re 1.293 1.485 10.422
Re 1.311 0.000 3.853
Au 0.130 1.485 1.746
Au 0.111 0.000 8.315
Rh 1.695 0.000 12.881
Rh 1.713 1.485 6.312
```



No. 2
Here is a relaxed structure of ReBTeAu2 from Alexandria. Energies are from PBE. Values from VASP.

Properties
total moment	2.27	μB/f.u.
raw formation energy	2249	meV/atom
crystal system	tetragonal
calculated volume	138.65	Å³/cell
Fermi-level density of states	3.84	states/eV/cell

Geometry as Quantum ESPRESSO input:
```
&SYSTEM
  ibrav = 0, nat = 5, ntyp = 4
/
ATOMIC_SPECIES
Au 196.97 Au.upf
Te 127.60 Te.upf
B 10.81 B.upf
Re 186.21 Re.upf
CELL_PARAMETERS angstrom
5.222 0.000 0.000
0.000 5.084 0.000
0.000 0.000 5.222
ATOMIC_POSITIONS angstrom
Au 0.000 0.000 2.611
Au 2.611 0.000 0.000
Te 0.000 0.000 0.000
B 2.611 2.542 2.611
Re 0.000 2.542 0.000
```



No. 3
Here is a relaxed structure of VRe2BAu from Alexandria. Energies are from PBE. Values from VASP.

Properties
total moment	1.85	μB/f.u.
crystal system	tetragonal
calculated volume	97.63	Å³/cell
Fermi-level density of states	4.74	states/eV/cell
raw total energy	-31.66	eV per cell

Geometry as Quantum ESPRESSO input:
```
&SYSTEM
  ibrav = 0, nat = 5, ntyp = 4
/
ATOMIC_SPECIES
Au 196.97 Au.upf
Re 186.21 Re.upf
V 50.94 V.upf
B 10.81 B.upf
CELL_PARAMETERS angstrom
4.472 0.000 0.000
0.000 4.882 0.000
0.000 0.000 4.472
ATOMIC_POSITIONS angstrom
Au 0.000 2.441 0.000
Re 2.236 0.000 0.000
Re 0.000 0.000 2.236
V 0.000 0.000 0.000
B 2.236 2.441 2.236
```



- What is the formula in the second record?
  ReBTeAu2